Compound: Sc6GaCu2
Source: Alexandria
Functional: GGA-PBE
Structure: optimized geometry

Output
- ΔH_f (0 K) (kJ/mol of atoms) = -26.0
- calculated density (g cm⁻³) = 4.2

Structure (CIF):
```
data_Sc6GaCu2
_space_group_name_H-M_alt 'I m m m'
_space_group_IT_number 71
_space_group_name_Hall '-I 2 2'
_cell_length_a 8.8543
_cell_length_b 9.0245
_cell_length_c 9.2207
_cell_angle_alpha 90.00
_cell_angle_beta 90.00
_cell_angle_gamma 90.00
loop_
_atom_site_label
_atom_site_type_symbol
_atom_site_fract_x
_atom_site_fract_y
_atom_site_fract_z
Sc1 Sc 0.0000 0.2162 0.1777
Sc2 Sc 0.1815 0.2256 0.5000
Sc3 Sc 0.2032 0.5000 0.2597
Ga1 Ga 0.0000 0.5000 0.0000
Ga2 Ga 0.0000 0.5000 0.5000
Cu1 Cu 0.0000 0.0000 0.3703
Cu2 Cu 0.1415 0.0000 0.0000
```



Compound: ScGa2Cu6
Source: Alexandria
Functional: GGA-PBE
Structure: optimized geometry

Output
- ΔH_f (0 K) (kJ/mol of atoms) = -5.4
- calculated density (g cm⁻³) = 7.2

Structure (CIF):
```
data_ScGa2Cu6
_space_group_name_H-M_alt 'I m m m'
_space_group_IT_number 71
_space_group_name_Hall '-I 2 2'
_cell_length_a 2.9728
_cell_length_b 7.1276
_cell_length_c 12.3406
_cell_angle_alpha 90.00
_cell_angle_beta 90.00
_cell_angle_gamma 90.00
loop_
_atom_site_label
_atom_site_type_symbol
_atom_site_fract_x
_atom_site_fract_y
_atom_site_fract_z
Sc1 Sc 0.0000 0.0000 0.0000
Ga1 Ga 0.0000 0.5000 0.1477
Cu1 Cu 0.0000 0.1702 0.5000
Cu2 Cu 0.0000 0.3238 0.3246
```



Compound: Sc3GaCu2
Source: Alexandria
Functional: GGA-PBE
Structure: optimized geometry

Output
- ΔH_f (0 K) (kJ/mol of atoms) = -38.4
- calculated density (g cm⁻³) = 5.1

Structure (CIF):
```
data_Sc3GaCu2
_space_group_name_H-M_alt 'P 4/m m m'
_space_group_IT_number 123
_space_group_name_Hall '-P 4 2'
_cell_length_a 3.2718
_cell_length_b 3.2718
_cell_length_c 10.0098
_cell_angle_alpha 90.00
_cell_angle_beta 90.00
_cell_angle_gamma 90.00
loop_
_atom_site_label
_atom_site_type_symbol
_atom_site_fract_x
_atom_site_fract_y
_atom_site_fract_z
Sc1 Sc 0.0000 0.0000 0.0000
Sc2 Sc 0.0000 0.0000 0.3249
Ga1 Ga 0.5000 0.5000 0.5000
Cu1 Cu 0.5000 0.5000 0.1654
```



Compound: Sc3Ga7Cu2
Source: Alexandria
Functional: GGA-PBE
Structure: optimized geometry

Output
- ΔH_f (0 K) (kJ/mol of atoms) = -41.5
- calculated density (g cm⁻³) = 6.0

Structure (CIF):
```
data_Sc3Ga7Cu2
_space_group_name_H-M_alt 'P 1 2/m 1'
_space_group_IT_number 10
_cell_length_a 4.0589
_cell_length_b 3.9939
_cell_length_c 13.0253
_cell_angle_alpha 90.00
_cell_angle_beta 98.86
_cell_angle_gamma 90.00
loop_
_space_group_symop_operation_xyz
'x,y,z'
'-x,-y,-z'
'-x,y,-z'
'x,-y,z'
loop_
_atom_site_label
_atom_site_type_symbol
_atom_site_fract_x
_atom_site_fract_y
_atom_site_fract_z
Sc1 Sc 0.0000 0.0000 0.0000
Sc2 Sc 0.3149 0.5000 0.6309
Ga1 Ga 0.0818 0.5000 0.1641
Ga2 Ga 0.2247 0.0000 0.4488
Ga3 Ga 0.4168 0.0000 0.8340
Ga4 Ga 0.5000 0.5000 0.0000
Cu1 Cu 0.1341 0.0000 0.2687
```



Compound: ScGaCu3
Source: Alexandria
Functional: GGA-PBE
Structure: optimized geometry

Output
- ΔH_f (0 K) (kJ/mol of atoms) = 97.1
- calculated density (g cm⁻³) = 4.3

Structure (CIF):
```
data_ScGaCu3
_space_group_name_H-M_alt 'P m -3 m'
_space_group_IT_number 221
_space_group_name_Hall '-P 4 2 3'
_cell_length_a 4.8873
_cell_length_b 4.8873
_cell_length_c 4.8873
_cell_angle_alpha 90.00
_cell_angle_beta 90.00
_cell_angle_gamma 90.00
loop_
_atom_site_label
_atom_site_type_symbol
_atom_site_fract_x
_atom_site_fract_y
_atom_site_fract_z
Sc1 Sc 0.0000 0.0000 0.0000
Ga1 Ga 0.5000 0.5000 0.5000
Cu1 Cu 0.0000 0.0000 0.5000
```



Compound: Sc2Ga3Cu2
Source: Alexandria
Functional: GGA-PBE
Structure: optimized geometry

Output
- ΔH_f (0 K) (kJ/mol of atoms) = -41.8
- calculated density (g cm⁻³) = 5.9

Structure (CIF):
```
data_Sc2Ga3Cu2
_space_group_name_H-M_alt 'C m c m'
_space_group_IT_number 63
_space_group_name_Hall '-C 2c 2'
_cell_length_a 4.0361
_cell_length_b 17.4821
_cell_length_c 6.7892
_cell_angle_alpha 90.00
_cell_angle_beta 90.00
_cell_angle_gamma 90.00
loop_
_atom_site_label
_atom_site_type_symbol
_atom_site_fract_x
_atom_site_fract_y
_atom_site_fract_z
Sc1 Sc 0.0000 0.0484 0.2500
Sc2 Sc 0.0000 0.1574 0.7500
Ga1 Ga 0.0000 0.2233 0.2500
Ga2 Ga 0.0000 0.4355 0.0666
Cu1 Cu 0.0000 0.3052 0.5577
```



Compound: Sc6Ga5Cu
Source: Alexandria
Functional: GGA-PBE
Structure: optimized geometry

Output
- ΔH_f (0 K) (kJ/mol of atoms) = -53.7
- calculated density (g cm⁻³) = 5.0

Structure (CIF):
```
data_Sc6Ga5Cu
_space_group_name_H-M_alt 'P 1 2/m 1'
_space_group_IT_number 10
_cell_length_a 4.7423
_cell_length_b 6.6474
_cell_length_c 7.5065
_cell_angle_alpha 90.00
_cell_angle_beta 108.33
_cell_angle_gamma 90.00
loop_
_space_group_symop_operation_xyz
'x,y,z'
'-x,-y,-z'
'-x,y,-z'
'x,-y,z'
loop_
_atom_site_label
_atom_site_type_symbol
_atom_site_fract_x
_atom_site_fract_y
_atom_site_fract_z
Sc1 Sc 0.0000 0.2474 0.0000
Sc2 Sc 0.3349 0.2468 0.6697
Ga1 Ga 0.1624 0.0000 0.3250
Ga2 Ga 0.1670 0.5000 0.3346
Ga3 Ga 0.5000 0.5000 0.0000
Cu1 Cu 0.5000 0.0000 0.0000
```



Compound: Sc2Ga2Cu
Source: Alexandria
Functional: GGA-PBE
Structure: optimized geometry

Output
- ΔH_f (0 K) (kJ/mol of atoms) = -11.9
- calculated density (g cm⁻³) = 4.8

Structure (CIF):
```
data_Sc2Ga2Cu
_space_group_name_H-M_alt 'P 4/m b m'
_space_group_IT_number 127
_space_group_name_Hall '-P 4 2ab'
_cell_length_a 7.0016
_cell_length_b 7.0016
_cell_length_c 4.1115
_cell_angle_alpha 90.00
_cell_angle_beta 90.00
_cell_angle_gamma 90.00
loop_
_atom_site_label
_atom_site_type_symbol
_atom_site_fract_x
_atom_site_fract_y
_atom_site_fract_z
Sc1 Sc 0.1572 0.3428 0.0000
Ga1 Ga 0.1449 0.6449 0.5000
Cu1 Cu 0.0000 0.0000 0.0000
```



Total magnetization values, unit μB/f.u., following the record order: 0.00; 0.00; 0.00; 0.00; 0.00; 0.00; 0.00; 0.00.
VASP energy values, unit eV per cell, following the record order: -206.5; -74.9; -32.6; -53.5; -16.6; -131.9; -63.9; -46.9.